Material: K5Rb4Na6
Method: DFT, PBE
State: relaxed

Geometry as POSCAR:
```
K5Rb4Na6
1.0
4.7366 0.0000 0.0000
-2.3683 17.3382 0.0000
-0.0001 0.0000 22.8624
Na Rb K
12 8 10
direct
0.5723 0.1446 0.9624
0.5198 0.0397 0.3655
0.4277 0.8554 0.4624
0.7139 0.4279 0.3049
0.4802 0.9603 0.8655
0.7777 0.5555 0.9181
0.3984 0.7967 0.1400
0.2223 0.4445 0.4181
0.6016 0.2033 0.6400
0.0907 0.1814 0.0830
0.9093 0.8186 0.5830
0.2861 0.5721 0.8049
0.8191 0.6381 0.4511
0.1118 0.2237 0.2835
0.9240 0.8480 0.2996
0.1809 0.3619 0.9511
0.9742 0.9484 0.0205
0.0760 0.1520 0.7996
0.0258 0.0516 0.5205
0.8882 0.7763 0.7835
0.1967 0.3933 0.5916
0.6971 0.3941 0.7618
0.6310 0.2620 0.4555
0.6818 0.3636 0.1357
0.3182 0.6364 0.6357
0.3030 0.6059 0.2618
0.5173 0.0345 0.1822
0.4828 0.9655 0.6822
0.3690 0.7380 0.9555
0.8033 0.6067 0.0916
```

Computed properties:
M_tot (μB/cell): 0.0
Crystal system: orthorhombic
Energy of formation (eV per atom): 0.037